Here is crystalline Ca2MoPd2 at its relaxed geometry from the Alexandria database. Energies are from GGA-PBE.

## Properties
ΔH_f (0 K), eV/atom: 0.24
ΔE to the lowest computed polymorph, kJ/mol of formula units: 0
D(E_F), states/eV per atom: 0.78

a = 8.258 Å, b = 8.258 Å, c = 2.993 Å
α = 90.00°, β = 90.00°, γ = 90.00°
Space group P4/mbm (No. 127)
Unique sites:
Ca  0.142  0.358  0.000
Mo  0.000  0.000  0.000
Pd  0.162  0.662  0.500

***

Here is crystalline Er2Al8Fe at its relaxed geometry from the Alexandria database. Energies are from GGA-PBE.

## Properties
ΔH_f (0 K), eV/atom: -0.40
D(E_F), states/eV per atom: 0.44

a = 4.196 Å, b = 4.196 Å, c = 11.176 Å
α = 90.00°, β = 90.00°, γ = 90.00°
Space group P4/mmm (No. 123)
Unique sites:
Er  0.000  0.000  0.194
Al  0.000  0.500  0.000
Al  0.000  0.500  0.385
Al  0.500  0.500  0.191
Fe  0.000  0.000  0.500

***

Here is crystalline Ce3Co2Si3 at its relaxed geometry from the Alexandria database. Energies are from GGA-PBE.

## Properties
Formation energy from raw total energies, kJ/mol of formula units: -497
D(E_F), states/eV per atom: 1.47

a = 7.288 Å, b = 14.066 Å, c = 5.872 Å
α = 90.00°, β = 90.00°, γ = 90.00°
Space group Pnma (No. 62)
Unique sites:
Ce  0.016  0.105  0.120
Ce  0.167  0.250  0.614
Co  0.155  0.597  0.385
Si  0.152  0.044  0.593
Si  0.193  0.750  0.587

***

> Which formula does entry 3 have?

Ce3Co2Si3

***

> What is the formula in the second record?

Er2Al8Fe

***

> Which of these has the highest D(E_F)?

Ce3Co2Si3

***

Please write out number 1 again, unchanged.
Here is crystalline Ca2MoPd2 at its relaxed geometry from the Alexandria database. Energies are from GGA-PBE.

## Properties
ΔH_f (0 K), eV/atom: 0.24
ΔE to the lowest computed polymorph, kJ/mol of formula units: 0
D(E_F), states/eV per atom: 0.78

a = 8.258 Å, b = 8.258 Å, c = 2.993 Å
α = 90.00°, β = 90.00°, γ = 90.00°
Space group P4/mbm (No. 127)
Unique sites:
Ca  0.142  0.358  0.000
Mo  0.000  0.000  0.000
Pd  0.162  0.662  0.500